Material: CsGePt
Method: DFT, PBE
State: optimized geometry

Lattice parameters (Å, degrees): 7.3407 8.1512 8.1463 90.00 123.67 90.00
Element x y z (fractional)
Cs (0.1115, 0.0028, 0.3063)
Cs (0.1115, 0.4972, 0.8063)
Cs (0.8885, 0.5028, 0.1937)
Cs (0.8885, 0.9972, 0.6937)
Ge (0.4969, 0.6709, 0.6694)
Ge (0.4969, 0.8291, 0.1694)
Ge (0.5031, 0.1709, 0.8306)
Ge (0.5031, 0.3291, 0.3306)
Pt (0.4984, 0.6241, 0.3748)
Pt (0.4984, 0.8759, 0.8748)
Pt (0.5016, 0.1241, 0.1252)
Pt (0.5016, 0.3759, 0.6252)

Calculated formation energy = -424 meV/atom
Excess energy over the best structure of this formula in the dataset = 0 meV/atom
Fermi-level density of states = 0.60 states/eV/f.u.